{
  "formula": "Nd3SnPt8",
  "functional": "PBE",
  "state": "optimized geometry",
  "lattice_angstrom": [[-4.6899, -0.2270, -2.8989], [-1.9735, -4.8724, -1.6776], [-6.8827, -2.4280, 6.0732]],
  "species": ["Pt", "Pt", "Pt", "Nd", "Pt", "Nd", "Pt", "Nd", "Pt", "Pt", "Sn", "Pt"],
  "fractional_positions": [[0.9395, 0.4338, 0.6872], [0.4389, 0.4389, 0.1794], [0.1899, 0.1899, 0.4304], [0.5072, 0.5072, 0.4785], [0.6892, 0.6892, 0.9324], [0.3777, 0.3777, 0.8669], [0.4338, 0.9395, 0.6872], [0.9912, 0.9912, 0.0264], [0.9428, 0.4389, 0.1794], [0.4389, 0.9428, 0.1794], [0.8615, 0.8615, 0.4156], [0.9395, 0.9395, 0.6872]],
  "dft_energy_ev_per_atom": -6.480,
  "e_form_mev_per_atom": -927,
  "sg": "R3m (160)"
}